*P*
This record from Alexandria describes a geometry-optimized Rb3GaSb structure. The functional is GGA-PBE.

The space group is Pm-3m (No. 221) and the conventional cell measures 7.0791, 7.0791 and 7.0791 Å, with angles of 90.00, 90.00 and 90.00 degrees. The inequivalent atoms are Rb at (0.0000, 0.0000, 0.5000), Ga at (0.5000, 0.5000, 0.5000) and Sb at (0.0000, 0.0000, 0.0000).

---

*Q*
This record from Alexandria describes a geometry-optimized Rb3GaSb structure. The functional is GGA-PBE.

The space group is Ima2 (No. 46) and the conventional cell measures 11.8031, 9.1366 and 9.9162 Å, with angles of 90.00, 90.00 and 90.00 degrees. The inequivalent atoms are Rb at (0.0280, 0.2356, 0.0000), Rb at (0.2500, 0.5694, 0.7739), Ga at (0.2500, 0.5101, 0.1457) and Sb at (0.2500, 0.5422, 0.4034).

---

Pick *Q*: it beats the second-best structure by 339 meV/atom.

---

*P*
This record from Alexandria describes a geometry-optimized RbGaSb3 structure. The functional is GGA-PBE.

The space group is Pm-3m (No. 221) and the conventional cell measures 5.5304, 5.5304 and 5.5304 Å, with angles of 90.00, 90.00 and 90.00 degrees. The inequivalent atoms are Rb at (0.0000, 0.0000, 0.0000), Ga at (0.5000, 0.5000, 0.5000) and Sb at (0.0000, 0.5000, 0.5000).

---

*Q*
This record from Alexandria describes a geometry-optimized RbGaSb3 structure. The functional is GGA-PBE.

The space group is Pmn2_1 (No. 31) and the conventional cell measures 7.0994, 9.1224 and 5.6829 Å, with angles of 90.00, 90.00 and 90.00 degrees. The inequivalent atoms are Rb at (0.0000, 0.0877, 0.0000), Ga at (0.0000, 0.5277, 0.3075), Sb at (0.0000, 0.7554, 0.6179) and Sb at (0.2471, 0.3234, 0.4926).

---

Pick *Q*: it beats the second-best structure by 352 meV/atom.

---

*P*
This record from Alexandria describes a geometry-optimized RbGaSb2Te structure. The functional is GGA-PBE.

The space group is P4/mmm (No. 123) and the conventional cell measures 5.4340, 5.4340 and 5.8513 Å, with angles of 90.00, 90.00 and 90.00 degrees. The inequivalent atoms are Rb at (0.0000, 0.0000, 0.0000), Ga at (0.5000, 0.5000, 0.5000), Sb at (0.0000, 0.5000, 0.5000) and Te at (0.5000, 0.5000, 0.0000).

---

*Q*
This record from Alexandria describes a geometry-optimized RbGaSb2Te structure. The functional is GGA-PBE.

The space group is P4/mmm (No. 123) and the conventional cell measures 6.1133, 6.1133 and 6.2628 Å, with angles of 90.00, 90.00 and 90.00 degrees. The inequivalent atoms are Rb at (0.0000, 0.0000, 0.0000), Ga at (0.5000, 0.5000, 0.5000), Sb at (0.0000, 0.5000, 0.0000) and Te at (0.0000, 0.0000, 0.5000).

---

Pick *P*: it beats the second-best structure by 1065 meV/atom.

---

*P*
This record from Alexandria describes a geometry-optimized RbGaSbTe2 structure. The functional is GGA-PBE.

The space group is P4/mmm (No. 123) and the conventional cell measures 6.3447, 6.3447 and 6.1097 Å, with angles of 90.00, 90.00 and 90.00 degrees. The inequivalent atoms are Rb at (0.0000, 0.0000, 0.0000), Ga at (0.5000, 0.5000, 0.5000), Sb at (0.0000, 0.0000, 0.5000) and Te at (0.0000, 0.5000, 0.0000).

---

*Q*
This record from Alexandria describes a geometry-optimized RbGaSbTe2 structure. The functional is GGA-PBE.

The space group is P4/mmm (No. 123) and the conventional cell measures 5.7554, 5.7554 and 5.3020 Å, with angles of 90.00, 90.00 and 90.00 degrees. The inequivalent atoms are Rb at (0.0000, 0.0000, 0.0000), Ga at (0.5000, 0.5000, 0.5000), Sb at (0.5000, 0.5000, 0.0000) and Te at (0.0000, 0.5000, 0.5000).

---

Pick *Q*: it beats the second-best structure by 1024 meV/atom.

---

*P*
This record from Alexandria describes a geometry-optimized RbGa2Se2 structure. The functional is GGA-PBE.

The space group is I4/mmm (No. 139) and the conventional cell measures 5.1967, 5.1967 and 9.6061 Å, with angles of 90.00, 90.00 and 90.00 degrees. The inequivalent atoms are Rb at (0.0000, 0.0000, 0.0000), Ga at (0.0000, 0.0000, 0.3545) and Se at (0.0000, 0.5000, 0.2500).

---

*Q*
This record from Alexandria describes a geometry-optimized RbGa2Se2 structure. The functional is GGA-PBE.

The space group is I4/mmm (No. 139) and the conventional cell measures 5.0187, 5.0187 and 12.6571 Å, with angles of 90.00, 90.00 and 90.00 degrees. The inequivalent atoms are Rb at (0.0000, 0.0000, 0.0000), Ga at (0.0000, 0.5000, 0.2500) and Se at (0.0000, 0.0000, 0.3343).

---

Pick *P*: it beats the second-best structure by 41 meV/atom.

---

*P*
This record from Alexandria describes a geometry-optimized RbGaSe structure. The functional is GGA-PBE.

The space group is P2_1/m (No. 11) and the conventional cell measures 5.0840, 4.7272 and 10.0096 Å, with angles of 90.00, 104.31 and 90.00 degrees. The inequivalent atoms are Rb at (0.1698, 0.2500, 0.3299), Ga at (0.4666, 0.2500, 0.9384) and Se at (0.3429, 0.2500, 0.6969).

---

*Q*
This record from Alexandria describes a geometry-optimized RbGaSe structure. The functional is GGA-PBE.

The space group is P3m1 (No. 156) and the conventional cell measures 4.2574, 4.2574 and 6.3269 Å, with angles of 90.00, 90.00 and 120.00 degrees. The inequivalent atoms are Rb at (0.0000, 0.0000, 0.0000), Ga at (0.3333, 0.6667, 0.5701) and Se at (0.6667, 0.3333, 0.3694).

---

Pick *P*: it beats the second-best structure by 57 meV/atom.

---

*P*
This record from Alexandria describes a geometry-optimized RbGa3Se structure. The functional is GGA-PBE.

The space group is Pm-3m (No. 221) and the conventional cell measures 5.9728, 5.9728 and 5.9728 Å, with angles of 90.00, 90.00 and 90.00 degrees. The inequivalent atoms are Rb at (0.0000, 0.0000, 0.0000), Ga at (0.0000, 0.0000, 0.5000) and Se at (0.5000, 0.5000, 0.5000).

---

*Q*
This record from Alexandria describes a geometry-optimized RbGa3Se structure. The functional is GGA-PBE.

The space group is Pm-3m (No. 221) and the conventional cell measures 5.5886, 5.5886 and 5.5886 Å, with angles of 90.00, 90.00 and 90.00 degrees. The inequivalent atoms are Rb at (0.0000, 0.0000, 0.0000), Ga at (0.0000, 0.5000, 0.5000) and Se at (0.5000, 0.5000, 0.5000).

---

Pick *Q*: it beats the second-best structure by 875 meV/atom.

---

*P*
This record from Alexandria describes a geometry-optimized Rb2GaSi structure. The functional is GGA-PBE.

The space group is Fm-3m (No. 225) and the conventional cell measures 8.3889, 8.3889 and 8.3889 Å, with angles of 90.00, 90.00 and 90.00 degrees. The inequivalent atoms are Rb at (0.2500, 0.2500, 0.2500), Ga at (0.0000, 0.0000, 0.0000) and Si at (0.0000, 0.0000, 0.5000).

---

*Q*
This record from Alexandria describes a geometry-optimized Rb2GaSi structure. The functional is GGA-PBE.

The space group is Imm2 (No. 44) and the conventional cell measures 4.2860, 10.7030 and 6.6768 Å, with angles of 90.00, 90.00 and 90.00 degrees. The inequivalent atoms are Rb at (0.0000, 0.1789, 0.0000), Ga at (0.0000, 0.5000, 0.1406) and Si at (0.0000, 0.0000, 0.4738).

---

*R*
This record from Alexandria describes a geometry-optimized Rb2GaSi structure. The functional is GGA-PBE.

The space group is I-42d (No. 122) and the conventional cell measures 4.8284, 4.8284 and 24.2697 Å, with angles of 90.00, 90.00 and 90.00 degrees. The inequivalent atoms are Rb at (0.2478, 0.2500, 0.1250), Ga at (0.0000, 0.0000, 0.0000) and Si at (0.0000, 0.0000, 0.5000).

---

Pick *Q*: it beats the second-best structure by 467 meV/atom.